{"formula": "K2SmSnS4", "functional": "PBE", "state": "optimized geometry", "e_form_raw_ev_per_fu": -10.3, "space_group": "P2/m", "e_tot_ev_per_atom": -4.7143, "lattice_angstrom": [[4.080, 0.000, 0.000], [0.000, 7.733, -0.390], [0.000, 2.492, 6.686]], "species": ["K", "K", "Sm", "Sn", "S", "S", "S", "S"], "fractional_positions": [[0.000, 0.000, 0.000], [0.500, 0.000, 0.500], [0.000, 0.500, 0.500], [0.500, 0.500, 0.000], [0.000, 0.702, 0.769], [0.000, 0.298, 0.231], [0.500, 0.704, 0.261], [0.500, 0.296, 0.739]]}